# 1
Entry from Alexandria via LeMat-Bulk: an optimized crystal structure of CaDy5 (PBE).

Calculated values
Total DFT energy (no corrections) ... -4.024 eV per atom
Formation energy from the elements ... 0.145 eV/atom

a b c (Å): 5.7064 17.7359 3.8851
angles (deg): 90.00 90.00 90.00
Last column: nearest neighbours and their distance in Å.
Element x y z (fractional)
Ca: 0.0000 0.0000 0.0000  8 Dy 3.37-3.45
Ca: 0.5000 0.5000 0.0000  8 Dy 3.37-3.45
Dy: 0.0000 0.1551 0.5000  2 Ca 3.37, 6 Dy 3.48-3.50
Dy: 0.0000 0.3193 0.0000  12 Dy 3.48-3.89
Dy: 0.0000 0.5000 0.5000  4 Ca 3.45, 4 Dy 3.75
Dy: 0.0000 0.6807 0.0000  12 Dy 3.48-3.89
Dy: 0.0000 0.8449 0.5000  2 Ca 3.37, 6 Dy 3.48-3.50
Dy: 0.5000 0.0000 0.5000  4 Ca 3.45, 4 Dy 3.75
Dy: 0.5000 0.1807 0.0000  12 Dy 3.48-3.89
Dy: 0.5000 0.3449 0.5000  2 Ca 3.37, 6 Dy 3.48-3.50
Dy: 0.5000 0.6551 0.5000  2 Ca 3.37, 6 Dy 3.48-3.50
Dy: 0.5000 0.8193 0.0000  12 Dy 3.48-3.89

# 2
Entry from Alexandria via LeMat-Bulk: an optimized crystal structure of Ca3Dy (PBE).

Calculated values
Total DFT energy (no corrections) ... -2.430 eV per atom
Formation energy from the elements ... 0.221 eV/atom
Energy above the most stable polymorph in this dataset ... 0.103 eV/atom

a b c (Å): 3.5290 3.6924 12.0474
angles (deg): 90.00 90.00 90.00
Last column: nearest neighbours and their distance in Å.
Element x y z (fractional)
Ca: 0.0000 0.0000 0.0000  10 Ca 3.53-3.91
Ca: 0.0000 0.5000 0.2738  6 Ca 3.53-3.78, 4 Dy 3.72
Ca: 0.5000 0.5000 0.7538  8 Ca 3.53-3.91, 2 Dy 3.59
Dy: 0.5000 0.0000 0.4982  4 Dy 3.53-3.69, 6 Ca 3.59-3.72